Computed, not measured: CaNdY4S8 after structural relaxation at the PBE level of DFT.

E_form (uncorrected) = -193 kJ/mol of atoms
Space-group type = R3m, No. 160
Calculated total energy = -93.60 eV/cell
Total moment = 0.00 μB/f.u.
DOS at the Fermi energy = 3.67 states/eV/cell

Cell: 8.180 8.180 8.180 Å, 59.52 59.52 59.52°
Atoms (fractional coordinates):
Ca1 0.000 0.000 0.000
Nd1 0.627 0.627 0.627
Y1 0.120 0.628 0.628
Y2 0.251 0.251 0.251
Y3 0.628 0.120 0.628
Y4 0.628 0.628 0.120
S1 0.378 0.378 0.855
S2 0.378 0.855 0.378
S3 0.384 0.384 0.384
S4 0.404 0.871 0.871
S5 0.855 0.378 0.378
S6 0.865 0.865 0.865
S7 0.871 0.404 0.871
S8 0.871 0.871 0.404

=====

Computed, not measured: CaNd2YS4 after structural relaxation at the PBE level of DFT.

E_form (uncorrected) = -196 kJ/mol of atoms
Space-group type = P2/m, No. 10
Calculated total energy = -50.80 eV/cell
Total moment = 0.00 μB/f.u.
DOS at the Fermi energy = 3.00 states/eV/cell

Cell: 6.936 3.991 7.007 Å, 90.00 109.04 90.00°
Atoms (fractional coordinates):
Ca1 0.000 0.000 0.000
Nd1 0.000 0.500 0.500
Nd2 0.500 0.000 0.500
Y1 0.500 0.500 0.000
S1 0.249 0.500 0.239
S2 0.255 0.000 0.763
S3 0.745 0.000 0.237
S4 0.751 0.500 0.761

=====

Computed, not measured: CaNd4Y3S8 after structural relaxation at the PBE level of DFT.

E_form (uncorrected) = -195 kJ/mol of atoms
Space-group type = R-3m, No. 166
Calculated total energy = -105.84 eV/cell
Total moment = 0.00 μB/f.u.
DOS at the Fermi energy = 7.81 states/eV/cell

Cell: 8.053 8.053 8.053 Å, 59.32 59.32 59.32°
Atoms (fractional coordinates):
Ca1 0.000 0.000 0.000
Nd1 0.000 0.000 0.500
Nd2 0.000 0.500 0.000
Nd3 0.500 0.000 0.000
Nd4 0.500 0.500 0.500
Y1 0.000 0.500 0.500
Y2 0.500 0.000 0.500
Y3 0.500 0.500 0.000
S1 0.246 0.246 0.744
S2 0.246 0.744 0.246
S3 0.255 0.255 0.255
S4 0.256 0.754 0.754
S5 0.744 0.246 0.246
S6 0.745 0.745 0.745
S7 0.754 0.256 0.754
S8 0.754 0.754 0.256

=====

Computed, not measured: CaNdY2S4 after structural relaxation at the PBE level of DFT.

E_form (uncorrected) = -196 kJ/mol of atoms
Space-group type = P2/m, No. 10
Calculated total energy = -52.46 eV/cell
Total moment = 0.00 μB/f.u.
DOS at the Fermi energy = 2.86 states/eV/cell

Cell: 6.896 3.959 6.916 Å, 90.00 109.11 90.00°
Atoms (fractional coordinates):
Ca1 0.000 0.000 0.000
Nd1 0.000 0.500 0.500
Y1 0.500 0.000 0.500
Y2 0.500 0.500 0.000
S1 0.257 0.500 0.248
S2 0.260 0.000 0.759
S3 0.740 0.000 0.241
S4 0.743 0.500 0.752

=====

Computed, not measured: Ca3Nd3ZnS8 after structural relaxation at the PBE level of DFT.

E_form (uncorrected) = -176 kJ/mol of atoms
Space-group type = R-3m, No. 166
Calculated total energy = -81.99 eV/cell
Total moment = 0.00 μB/f.u.
DOS at the Fermi energy = 3.85 states/eV/cell

Cell: 8.068 8.068 8.068 Å, 59.65 59.65 59.65°
Atoms (fractional coordinates):
Ca1 0.000 0.500 0.500
Ca2 0.500 0.000 0.500
Ca3 0.500 0.500 0.000
Nd1 0.000 0.000 0.500
Nd2 0.000 0.500 0.000
Nd3 0.500 0.000 0.000
Zn1 0.500 0.500 0.500
S1 0.251 0.251 0.251
S2 0.266 0.266 0.734
S3 0.266 0.734 0.266
S4 0.266 0.734 0.734
S5 0.734 0.266 0.266
S6 0.734 0.266 0.734
S7 0.734 0.734 0.266
S8 0.749 0.749 0.749

=====

Computed, not measured: CaNd2Sb3 after structural relaxation at the PBE level of DFT.

E_form (uncorrected) = -99 kJ/mol of atoms
Space-group type = Immm, No. 71
Calculated total energy = -30.06 eV/cell
Total moment = 0.00 μB/f.u.
DOS at the Fermi energy = 3.49 states/eV/cell

Cell: 7.914 7.914 7.914 Å, 147.15 132.21 59.20°
Atoms (fractional coordinates):
Ca1 0.000 0.000 0.000
Nd1 0.334 0.334 0.000
Nd2 0.666 0.666 0.000
Sb1 0.170 0.670 0.500
Sb2 0.500 0.000 0.500
Sb3 0.830 0.330 0.500

=====

Computed, not measured: CaNd2Sb after structural relaxation at the PBE level of DFT.

E_form (uncorrected) = -38 kJ/mol of atoms
Space-group type = R-3m, No. 166
Calculated total energy = -17.25 eV/cell
Total moment = 0.01 μB/f.u.
DOS at the Fermi energy = 6.35 states/eV/cell
ΔE to the lowest computed polymorph = 0.1058 eV/atom

Cell: 10.273 10.273 10.273 Å, 23.74 23.74 23.74°
Atoms (fractional coordinates):
Ca1 0.000 0.000 0.000
Nd1 0.230 0.230 0.230
Nd2 0.770 0.770 0.770
Sb1 0.500 0.500 0.500

=====

Computed, not measured: CaNd4Sb5 after structural relaxation at the PBE level of DFT.

E_form (uncorrected) = -106 kJ/mol of atoms
Space-group type = Immm, No. 71
Calculated total energy = -52.63 eV/cell
Total moment = 0.00 μB/f.u.
DOS at the Fermi energy = 4.80 states/eV/cell

Cell: 12.004 12.004 12.004 Å, 158.29 149.04 38.13°
Atoms (fractional coordinates):
Ca1 0.000 0.000 0.000
Nd1 0.199 0.199 0.000
Nd2 0.401 0.401 0.000
Nd3 0.599 0.599 0.000
Nd4 0.801 0.801 0.000
Sb1 0.102 0.602 0.500
Sb2 0.301 0.801 0.500
Sb3 0.500 0.000 0.500
Sb4 0.699 0.199 0.500
Sb5 0.898 0.398 0.500

=====

Computed, not measured: CaNd8Sb6 after structural relaxation at the PBE level of DFT.

E_form (uncorrected) = -78 kJ/mol of atoms
Space-group type = R-3, No. 148
Calculated total energy = -77.00 eV/cell
Total moment = 0.00 μB/f.u.
DOS at the Fermi energy = 17.14 states/eV/cell

Cell: 9.644 9.644 9.644 Å, 51.73 51.73 51.73°
Atoms (fractional coordinates):
Ca1 0.000 0.000 0.000
Nd1 0.122 0.448 0.794
Nd2 0.206 0.878 0.552
Nd3 0.333 0.333 0.333
Nd4 0.448 0.794 0.122
Nd5 0.552 0.206 0.878
Nd6 0.667 0.667 0.667
Nd7 0.794 0.122 0.448
Nd8 0.878 0.552 0.206
Sb1 0.068 0.732 0.406
Sb2 0.268 0.594 0.932
Sb3 0.406 0.068 0.732
Sb4 0.594 0.932 0.268
Sb5 0.732 0.406 0.068
Sb6 0.932 0.268 0.594

=====

Computed, not measured: CaNd3Sb3 after structural relaxation at the PBE level of DFT.

E_form (uncorrected) = -92 kJ/mol of atoms
Space-group type = R-3, No. 148
Calculated total energy = -70.65 eV/cell
Total moment = 0.00 μB/f.u.
DOS at the Fermi energy = 9.15 states/eV/cell
ΔE to the lowest computed polymorph = 0.0892 eV/atom

Cell: 8.311 8.311 8.311 Å, 68.21 68.21 68.21°
Atoms (fractional coordinates):
Ca1 0.168 0.168 0.168
Ca2 0.832 0.832 0.832
Nd1 0.145 0.407 0.687
Nd2 0.313 0.855 0.593
Nd3 0.407 0.687 0.145
Nd4 0.593 0.313 0.855
Nd5 0.687 0.145 0.407
Nd6 0.855 0.593 0.313
Sb1 0.037 0.796 0.427
Sb2 0.204 0.573 0.963
Sb3 0.427 0.037 0.796
Sb4 0.573 0.963 0.204
Sb5 0.796 0.427 0.037
Sb6 0.963 0.204 0.573

=====

Computed, not measured: CaNd2Sb after structural relaxation at the PBE level of DFT.

E_form (uncorrected) = -47 kJ/mol of atoms
Space-group type = P4/mmm, No. 123
Calculated total energy = -17.59 eV/cell
Total moment = 0.00 μB/f.u.
DOS at the Fermi energy = 4.34 states/eV/cell
ΔE to the lowest computed polymorph = 0.0194 eV/atom

Cell: 4.926 4.926 5.010 Å, 90.00 90.00 90.00°
Atoms (fractional coordinates):
Ca1 0.000 0.000 0.000
Nd1 0.000 0.500 0.500
Nd2 0.500 0.000 0.500
Sb1 0.500 0.500 0.000

=====

Computed, not measured: CaNd3Sb2 after structural relaxation at the PBE level of DFT.

E_form (uncorrected) = -68 kJ/mol of atoms
Space-group type = C2/m, No. 12
Calculated total energy = -57.54 eV/cell
Total moment = 0.00 μB/f.u.
DOS at the Fermi energy = 11.17 states/eV/cell

Cell: 9.579 9.579 10.131 Å, 115.32 115.32 27.41°
Atoms (fractional coordinates):
Ca1 0.109 0.109 0.113
Ca2 0.891 0.891 0.887
Nd1 0.054 0.054 0.674
Nd2 0.311 0.311 0.112
Nd3 0.350 0.350 0.527
Nd4 0.650 0.650 0.473
Nd5 0.689 0.689 0.888
Nd6 0.946 0.946 0.326
Sb1 0.245 0.245 0.719
Sb2 0.495 0.495 0.162
Sb3 0.505 0.505 0.838
Sb4 0.755 0.755 0.281